No. 1
Below is Ca17Mg12 after structural relaxation, with properties calculated at the GGA-PBE level.

a b c (Å): 10.796 10.796 10.796
angles (deg): 109.47 109.47 109.47
Atoms (fractional coordinates):
Ca  0.687  0.286  0.687
Mg  0.361  0.361  0.180
Mg  0.819  0.000  0.639
Ca  0.687  0.687  0.286
Mg  0.639  0.000  0.819
Ca  0.000  0.599  0.313
Mg  0.181  0.181  0.820
Ca  0.313  0.599  0.000
Ca  0.313  0.000  0.599
Mg  0.180  0.361  0.361
Mg  0.361  0.180  0.361
Mg  0.000  0.639  0.819
Mg  0.639  0.819  0.000
Ca  0.000  0.313  0.599
Ca  0.000  0.000  0.000
Ca  0.599  0.313  0.000
Ca  0.714  0.401  0.401
Ca  0.000  0.000  0.341
Ca  0.286  0.687  0.687
Ca  0.599  0.000  0.313
Ca  0.401  0.401  0.714
Ca  0.401  0.714  0.401
Mg  0.000  0.819  0.639
Ca  0.341  0.000  0.000
Mg  0.181  0.820  0.181
Mg  0.820  0.181  0.181
Ca  0.000  0.341  0.000
Ca  0.659  0.659  0.659
Mg  0.819  0.639  0.000

Properties
Theoretical density (g cm⁻³): 1.7
Energy of formation (eV per atom): -0.03
Space group: No. 217
Magnetic moment (Bohr magnetons per cell): 0.0
DOS(E_F) (states/eV per cell): 28.057

***

No. 2
Below is VN after structural relaxation, with properties calculated at the GGA-PBE level.

a b c (Å): 2.877 8.978 5.353
angles (deg): 90.00 90.00 90.00
Atoms (fractional coordinates):
V  0.000  0.208  0.383
V  0.000  0.708  0.883
N  0.500  0.780  0.645
N  0.000  0.500  0.849
V  0.000  0.792  0.383
N  0.000  0.000  0.349
V  0.000  0.292  0.883
V  0.500  0.000  0.596
N  0.500  0.720  0.145
N  0.500  0.220  0.645
N  0.500  0.280  0.145
V  0.500  0.500  0.096

Properties
Theoretical density (g cm⁻³): 4.7
Space group: No. 38
Magnetic moment (Bohr magnetons per cell): 0.0
DOS(E_F) (states/eV per cell): 6.446
E_form (uncorrected) (eV/atom): -0.83

***

No. 3
Below is CeNd2In6 after structural relaxation, with properties calculated at the GGA-PBE level.

a b c (Å): 3.690 8.724 8.724
angles (deg): 120.00 90.00 90.00
Atoms (fractional coordinates):
In  0.500  0.333  0.000
In  0.500  0.667  0.667
In  0.500  0.000  0.667
Nd  0.000  0.667  0.333
Ce  0.000  0.000  0.000
Nd  0.000  0.333  0.667
In  0.500  0.667  0.000
In  0.500  0.000  0.333
In  0.500  0.333  0.333

Properties
Theoretical density (g cm⁻³): 7.6
Energy of formation (eV per atom): -0.43
Space group: No. 191
Magnetic moment (Bohr magnetons per cell): 0.9
DOS(E_F) (states/eV per cell): 7.765
Energy above the most stable polymorph in this dataset (kJ/mol of atoms): 0.0

***

No. 4
Below is LaCeMnN4 after structural relaxation, with properties calculated at the GGA-PBE level.

a b c (Å): 3.699 3.699 7.009
angles (deg): 105.30 105.30 90.00
Atoms (fractional coordinates):
N  0.494  0.994  0.988
N  0.836  0.836  0.672
La  0.647  0.647  0.293
Ce  0.356  0.356  0.713
Mn  0.986  0.986  0.971
N  0.187  0.187  0.374
N  0.994  0.494  0.988

Properties
Theoretical density (g cm⁻³): 7.3
Space group: No. 107
Magnetic moment (Bohr magnetons per cell): 0.0
DOS(E_F) (states/eV per cell): 3.466
E_form (uncorrected) (eV/atom): -0.93

***

No. 5
Below is CsNa3F after structural relaxation, with properties calculated at the GGA-PBE level.

a b c (Å): 5.660 5.660 5.660
angles (deg): 90.00 90.00 90.00
Atoms (fractional coordinates):
Na  0.500  0.000  0.000
Na  0.000  0.000  0.500
F  0.000  0.000  0.000
Cs  0.500  0.500  0.500
Na  0.000  0.500  0.000

Properties
Theoretical density (g cm⁻³): 2.0
Space group: No. 221
Magnetic moment (Bohr magnetons per cell): 0.0
DOS(E_F) (states/eV per cell): 2.401
E_form (uncorrected) (eV/atom): -0.71
Energy above the most stable polymorph in this dataset (kJ/mol of atoms): 0.0

***

No. 6
Below is SnHgCl2 after structural relaxation, with properties calculated at the GGA-PBE level.

a b c (Å): 9.907 9.907 9.907
angles (deg): 20.88 20.88 20.88
Atoms (fractional coordinates):
Sn  0.000  0.000  0.000
Cl  0.089  0.089  0.089
Hg  0.500  0.500  0.500
Cl  0.911  0.911  0.911

Properties
Theoretical density (g cm⁻³): 6.0
Space group: No. 166
Magnetic moment (Bohr magnetons per cell): 0.0
DOS(E_F) (states/eV per cell): 0.203
E_form (uncorrected) (eV/atom): -0.32
Energy above the most stable polymorph in this dataset (kJ/mol of atoms): 36.0

***

Number 1: energy -0.13731 Ry/atom. Number 2: energy -0.70174 Ry/atom. Number 3: energy -0.29234 Ry/atom. Number 4: energy -0.62851 Ry/atom. Number 5: energy -0.15053 Ry/atom. Number 6: energy -0.17083 Ry/atom.